The following is a PBE calculation of a relaxed structure of Ta2CuPb, from the Alexandria database.

It has space group Pmmm (No. 47), with a = 2.961 Å, b = 4.278 Å, c = 5.775 Å, α = 90.00°, β = 90.00° and γ = 90.00°. The asymmetric unit holds Ta at (0.000, 0.000, 0.231), Cu at (0.500, 0.500, 0.000) and Pb at (0.500, 0.500, 0.500).

For the formation energy, the calculation gives 0.44 eV per atom. As for the density of states at the Fermi level: 2.15 states/eV/f.u.



The following is a PBE calculation of a relaxed structure of Ta2CuPb, from the Alexandria database.

It has space group P2/m (No. 10), with a = 2.955 Å, b = 4.340 Å, c = 5.750 Å, α = 90.00°, β = 95.24° and γ = 90.00°. The asymmetric unit holds Ta at (0.051, 0.000, 0.273), Cu at (0.500, 0.500, 0.500) and Pb at (0.500, 0.500, 0.000).

For the formation energy, the calculation gives 0.43 eV per atom. As for the density of states at the Fermi level: 2.43 states/eV/f.u.



The following is a PBE calculation of a relaxed structure of Ta2CuPb, from the Alexandria database.

It has space group Cmm2 (No. 35), with a = 3.515 Å, b = 4.909 Å, c = 8.946 Å, α = 90.00°, β = 90.00° and γ = 90.00°. The asymmetric unit holds Ta at (0.000, 0.000, 0.000), Ta at (0.000, 0.500, 0.239), Cu at (0.000, 0.500, 0.780) and Pb at (0.000, 0.000, 0.521).

For the formation energy, the calculation gives 0.31 eV per atom. As for the density of states at the Fermi level: 1.94 states/eV/f.u.



The following is a PBE calculation of a relaxed structure of TaCuPb, from the Alexandria database.

It has space group F-43m (No. 216), with a = 6.474 Å, b = 6.474 Å, c = 6.474 Å, α = 90.00°, β = 90.00° and γ = 90.00°. The asymmetric unit holds Ta at (0.000, 0.000, 0.000), Cu at (0.250, 0.250, 0.250) and Pb at (0.250, 0.250, 0.750).

For the formation energy, the calculation gives 0.93 eV per atom. As for the density of states at the Fermi level: 1.84 states/eV/f.u.



The following is a PBE calculation of a relaxed structure of TaCuPb2, from the Alexandria database.

It has space group I-4m2 (No. 119), with a = 4.138 Å, b = 4.138 Å, c = 9.798 Å, α = 90.00°, β = 90.00° and γ = 90.00°. The asymmetric unit holds Ta at (0.000, 0.000, 0.000), Cu at (0.000, 0.500, 0.750), Pb at (0.000, 0.000, 0.500) and Pb at (0.000, 0.500, 0.250).

For the formation energy, the calculation gives 0.61 eV per atom. As for the density of states at the Fermi level: 2.52 states/eV/f.u. The value obtained for the relative energy among the computed polymorphs is 329.9 meV/atom.



The following is a PBE calculation of a relaxed structure of Ta2CuPb, from the Alexandria database.

It has space group Immm (No. 71), with a = 3.786 Å, b = 4.241 Å, c = 9.002 Å, α = 90.00°, β = 90.00° and γ = 90.00°. The asymmetric unit holds Ta at (0.000, 0.000, 0.245), Cu at (0.000, 0.500, 0.500) and Pb at (0.000, 0.500, 0.000).

For the formation energy, the calculation gives 0.33 eV per atom. As for the density of states at the Fermi level: 1.13 states/eV/f.u.



Copy entry 3 word for word.
The following is a PBE calculation of a relaxed structure of Ta2CuPb, from the Alexandria database.

It has space group Cmm2 (No. 35), with a = 3.515 Å, b = 4.909 Å, c = 8.946 Å, α = 90.00°, β = 90.00° and γ = 90.00°. The asymmetric unit holds Ta at (0.000, 0.000, 0.000), Ta at (0.000, 0.500, 0.239), Cu at (0.000, 0.500, 0.780) and Pb at (0.000, 0.000, 0.521).

For the formation energy, the calculation gives 0.31 eV per atom. As for the density of states at the Fermi level: 1.94 states/eV/f.u.



What did the fifth record say?
The following is a PBE calculation of a relaxed structure of TaCuPb2, from the Alexandria database.

It has space group I-4m2 (No. 119), with a = 4.138 Å, b = 4.138 Å, c = 9.798 Å, α = 90.00°, β = 90.00° and γ = 90.00°. The asymmetric unit holds Ta at (0.000, 0.000, 0.000), Cu at (0.000, 0.500, 0.750), Pb at (0.000, 0.000, 0.500) and Pb at (0.000, 0.500, 0.250).

For the formation energy, the calculation gives 0.61 eV per atom. As for the density of states at the Fermi level: 2.52 states/eV/f.u. The value obtained for the relative energy among the computed polymorphs is 329.9 meV/atom.